This record from OQMD describes a geometry-optimized PrInO3 structure. The functional is PBE.

DFT total energy: -6.9181 eV/atom
ρ: 7.26 g/cm³

Cell: 5.968 8.212 5.670 Å, 90.00 90.00 90.00°
Space group Pnma (No. 62)
One atom of each set of equivalent atoms:
Pr 0.062 0.250 0.019
In 0.000 0.000 0.500
O 0.051 0.750 0.377
O 0.194 0.563 0.809